[1]
# AcTlHgAu GGA-PBE optimized geometry
# Crystal system: cubic
data_AcTlHgAu
_chemical_formula_sum 'Ac4 Tl4 Hg4 Au4'
_cell_length_a 7.608
_cell_length_b 7.608
_cell_length_c 7.608
_cell_angle_alpha 90.00
_cell_angle_beta 90.00
_cell_angle_gamma 90.00
_symmetry_space_group_name_H-M 'P 1'
_symmetry_Int_Tables_number 1
loop_
_symmetry_equiv_pos_as_xyz
'x,y,z'
loop_
_atom_site_label
_atom_site_fract_x
_atom_site_fract_y
_atom_site_fract_z
Ac1 0.000 0.000 0.000
Ac2 0.000 0.500 0.500
Ac3 0.500 0.000 0.500
Ac4 0.500 0.500 0.000
Tl1 0.000 0.000 0.500
Tl2 0.000 0.500 0.000
Tl3 0.500 0.000 0.000
Tl4 0.500 0.500 0.500
Hg1 0.250 0.250 0.750
Hg2 0.250 0.750 0.250
Hg3 0.750 0.250 0.250
Hg4 0.750 0.750 0.750
Au1 0.250 0.250 0.250
Au2 0.250 0.750 0.750
Au3 0.750 0.250 0.750
Au4 0.750 0.750 0.250

***

[2]
# AcTmHgAu GGA-PBE optimized geometry
# Crystal system: cubic
data_AcTmHgAu
_chemical_formula_sum 'Ac4 Tm4 Hg4 Au4'
_cell_length_a 7.630
_cell_length_b 7.630
_cell_length_c 7.630
_cell_angle_alpha 90.00
_cell_angle_beta 90.00
_cell_angle_gamma 90.00
_symmetry_space_group_name_H-M 'P 1'
_symmetry_Int_Tables_number 1
loop_
_symmetry_equiv_pos_as_xyz
'x,y,z'
loop_
_atom_site_label
_atom_site_fract_x
_atom_site_fract_y
_atom_site_fract_z
Ac1 0.000 0.000 0.000
Ac2 0.000 0.500 0.500
Ac3 0.500 0.000 0.500
Ac4 0.500 0.500 0.000
Tm1 0.000 0.000 0.500
Tm2 0.000 0.500 0.000
Tm3 0.500 0.000 0.000
Tm4 0.500 0.500 0.500
Hg1 0.250 0.250 0.750
Hg2 0.250 0.750 0.250
Hg3 0.750 0.250 0.250
Hg4 0.750 0.750 0.750
Au1 0.250 0.250 0.250
Au2 0.250 0.750 0.750
Au3 0.750 0.250 0.750
Au4 0.750 0.750 0.250

***

[3]
# AcZnHgAu3 GGA-PBE optimized geometry
# Crystal system: orthorhombic
data_AcZnHgAu3
_chemical_formula_sum 'Ac2 Zn2 Hg2 Au6'
_cell_length_a 7.257
_cell_length_b 7.257
_cell_length_c 6.927
_cell_angle_alpha 90.00
_cell_angle_beta 90.00
_cell_angle_gamma 128.12
_symmetry_space_group_name_H-M 'P 1'
_symmetry_Int_Tables_number 1
loop_
_symmetry_equiv_pos_as_xyz
'x,y,z'
loop_
_atom_site_label
_atom_site_fract_x
_atom_site_fract_y
_atom_site_fract_z
Ac1 0.191 0.809 0.750
Ac2 0.809 0.191 0.250
Zn1 0.438 0.562 0.750
Zn2 0.562 0.438 0.250
Hg1 0.145 0.855 0.250
Hg2 0.855 0.145 0.750
Au1 0.227 0.227 0.000
Au2 0.227 0.227 0.500
Au3 0.356 0.644 0.250
Au4 0.644 0.356 0.750
Au5 0.773 0.773 0.000
Au6 0.773 0.773 0.500

***

[4]
# AcZn2HgAu5 GGA-PBE optimized geometry
# Crystal system: tetragonal
data_AcZn2HgAu5
_chemical_formula_sum 'Ac1 Zn2 Hg1 Au5'
_cell_length_a 5.046
_cell_length_b 5.046
_cell_length_c 7.755
_cell_angle_alpha 90.00
_cell_angle_beta 90.00
_cell_angle_gamma 90.00
_symmetry_space_group_name_H-M 'P 1'
_symmetry_Int_Tables_number 1
loop_
_symmetry_equiv_pos_as_xyz
'x,y,z'
loop_
_atom_site_label
_atom_site_fract_x
_atom_site_fract_y
_atom_site_fract_z
Ac1 0.000 0.000 0.000
Zn1 0.500 0.500 0.342
Zn2 0.500 0.500 0.658
Hg1 0.000 0.000 0.500
Au1 0.000 0.500 0.263
Au2 0.000 0.500 0.737
Au3 0.500 0.000 0.263
Au4 0.500 0.000 0.737
Au5 0.500 0.500 0.000

***

Result set for ΔH_f (0 K): -0.493; -0.571; -0.320; -0.277 eV per atom, one per record in the order listed.